The following is a DFT calculation (PBE) of crystalline ErIn6Ag at its relaxed geometry.

Cell lengths 7.733, 10.705, 4.813 Å; angles 90.00, 90.00, 90.00 degrees
Element x y z (fractional)
Er (0.000, 0.000, 0.000)
Er (0.500, 0.500, 0.000)
In (0.000, 0.216, 0.500)
In (0.000, 0.784, 0.500)
In (0.206, 0.500, 0.500)
In (0.250, 0.250, 0.000)
In (0.250, 0.750, 0.000)
In (0.294, 0.000, 0.500)
In (0.500, 0.284, 0.500)
In (0.500, 0.716, 0.500)
In (0.706, 0.000, 0.500)
In (0.750, 0.250, 0.000)
In (0.750, 0.750, 0.000)
In (0.794, 0.500, 0.500)
Ag (0.000, 0.500, 0.000)
Ag (0.500, 0.000, 0.000)

Calculated values
Calculated formation energy, eV per atom: -0.12
Space group: No. 65



The following is a DFT calculation (PBE) of crystalline Er2In8Ag at its relaxed geometry.

Cell lengths 4.726, 4.726, 12.235 Å; angles 90.00, 90.00, 90.00 degrees
Element x y z (fractional)
Er (0.000, 0.000, 0.187)
Er (0.000, 0.000, 0.813)
In (0.000, 0.500, 0.000)
In (0.000, 0.500, 0.366)
In (0.000, 0.500, 0.634)
In (0.500, 0.000, 0.000)
In (0.500, 0.000, 0.366)
In (0.500, 0.000, 0.634)
In (0.500, 0.500, 0.187)
In (0.500, 0.500, 0.813)
Ag (0.000, 0.000, 0.500)

Calculated values
Calculated formation energy, eV per atom: -0.26
Space group: No. 123



The following is a DFT calculation (PBE) of crystalline ErInAg4 at its relaxed geometry.

Cell lengths 5.581, 5.581, 5.581 Å; angles 60.00, 60.00, 60.00 degrees
Element x y z (fractional)
Er (0.000, 0.000, 0.000)
In (0.750, 0.750, 0.750)
Ag (0.375, 0.375, 0.375)
Ag (0.375, 0.375, 0.875)
Ag (0.375, 0.875, 0.375)
Ag (0.875, 0.375, 0.375)

Calculated values
Calculated formation energy, eV per atom: -0.21
Space group: No. 216



The following is a DFT calculation (PBE) of crystalline ErInAg3 at its relaxed geometry.

Cell lengths 5.028, 5.053, 8.430 Å; angles 90.00, 107.18, 90.00 degrees
Element x y z (fractional)
Er (0.146, 0.250, 0.293)
Er (0.854, 0.750, 0.707)
In (0.351, 0.250, 0.706)
In (0.649, 0.750, 0.294)
Ag (0.046, 0.750, 0.094)
Ag (0.252, 0.750, 0.499)
Ag (0.457, 0.750, 0.916)
Ag (0.543, 0.250, 0.084)
Ag (0.748, 0.250, 0.501)
Ag (0.954, 0.250, 0.906)

Calculated values
Calculated formation energy, eV per atom: -0.25
Excess energy over the best structure of this formula in the dataset, eV/atom: 0.000
Space group: No. 11



Question: Among the records above, which one has the lowest calculated formation energy?
Answer: Er2In8Ag